#P
Here is Na3CdAs2 after structural relaxation from Alexandria via LeMat-Bulk. Energies are from PBE.

```
data_Na3CdAs2
_chemical_formula_sum 'Na12 Cd4 As8'
_cell_length_a 6.901
_cell_length_b 13.599
_cell_length_c 7.350
_cell_angle_alpha 90.00
_cell_angle_beta 90.00
_cell_angle_gamma 90.00
_symmetry_space_group_name_H-M 'I b a m'
_symmetry_Int_Tables_number 72
_symmetry_space_group_name_Hall '-I 2 2c'
loop_
_atom_site_label
_atom_site_type_symbol
_atom_site_fract_x
_atom_site_fract_y
_atom_site_fract_z
Na1 Na 0.000 0.000 0.250
Na2 Na 0.000 0.263 0.250
Cd1 Cd 0.000 0.500 0.000
As1 As 0.233 0.130 0.000
```

Theoretical density = 3.190 g cm⁻³
Magnetization = 1.02 μB per formula unit

#Q
Here is Na3CdAs2 after structural relaxation from Alexandria via LeMat-Bulk. Energies are from PBE.

```
data_Na3CdAs2
_chemical_formula_sum 'Na12 Cd4 As8'
_cell_length_a 6.282
_cell_length_b 15.271
_cell_length_c 6.224
_cell_angle_alpha 90.00
_cell_angle_beta 90.00
_cell_angle_gamma 90.00
_symmetry_space_group_name_H-M 'I b a m'
_symmetry_Int_Tables_number 72
_symmetry_space_group_name_Hall '-I 2 2c'
loop_
_atom_site_label
_atom_site_type_symbol
_atom_site_fract_x
_atom_site_fract_y
_atom_site_fract_z
Na1 Na 0.000 0.000 0.250
Na2 Na 0.247 0.318 0.000
Cd1 Cd 0.000 0.500 0.250
As1 As 0.227 0.380 0.500
```

Theoretical density = 3.685 g cm⁻³
Magnetization = 0.00 μB per formula unit

Referenced to the most stable arrangement, the calculated values in meV/atom are #P 66; #Q 0.

#P
Here is NaCdAs3 after structural relaxation from Alexandria via LeMat-Bulk. Energies are from PBE.

```
data_NaCdAs3
_chemical_formula_sum 'Na1 Cd1 As3'
_cell_length_a 5.247
_cell_length_b 5.247
_cell_length_c 5.247
_cell_angle_alpha 90.00
_cell_angle_beta 90.00
_cell_angle_gamma 90.00
_symmetry_space_group_name_H-M 'P m -3 m'
_symmetry_Int_Tables_number 221
_symmetry_space_group_name_Hall '-P 4 2 3'
loop_
_atom_site_label
_atom_site_type_symbol
_atom_site_fract_x
_atom_site_fract_y
_atom_site_fract_z
Na1 Na 0.000 0.000 0.000
Cd1 Cd 0.500 0.500 0.500
As1 As 0.000 0.500 0.500
```

Theoretical density = 4.140 g cm⁻³
Magnetization = 0.00 μB per formula unit

#Q
Here is NaCdAs3 after structural relaxation from Alexandria via LeMat-Bulk. Energies are from PBE.

```
data_NaCdAs3
_chemical_formula_sum 'Na1 Cd1 As3'
_cell_length_a 5.035
_cell_length_b 5.035
_cell_length_c 5.035
_cell_angle_alpha 90.00
_cell_angle_beta 90.00
_cell_angle_gamma 90.00
_symmetry_space_group_name_H-M 'P m -3 m'
_symmetry_Int_Tables_number 221
_symmetry_space_group_name_Hall '-P 4 2 3'
loop_
_atom_site_label
_atom_site_type_symbol
_atom_site_fract_x
_atom_site_fract_y
_atom_site_fract_z
Na1 Na 0.000 0.000 0.000
Cd1 Cd 0.500 0.500 0.500
As1 As 0.000 0.000 0.500
```

Theoretical density = 4.684 g cm⁻³
Magnetization = 0.00 μB per formula unit

Referenced to the most stable arrangement, the calculated values in meV/atom are #P 0; #Q 340.

#P
Here is NaCdAs2Se after structural relaxation from Alexandria via LeMat-Bulk. Energies are from PBE.

```
data_NaCdAs2Se
_chemical_formula_sum 'Na1 Cd1 As2 Se1'
_cell_length_a 5.068
_cell_length_b 5.068
_cell_length_c 5.107
_cell_angle_alpha 90.00
_cell_angle_beta 90.00
_cell_angle_gamma 90.00
_symmetry_space_group_name_H-M 'P 4/m m m'
_symmetry_Int_Tables_number 123
_symmetry_space_group_name_Hall '-P 4 2'
loop_
_atom_site_label
_atom_site_type_symbol
_atom_site_fract_x
_atom_site_fract_y
_atom_site_fract_z
Na1 Na 0.000 0.000 0.000
Cd1 Cd 0.500 0.500 0.500
As1 As 0.000 0.500 0.000
Se1 Se 0.000 0.000 0.500
```

Theoretical density = 4.610 g cm⁻³
Magnetization = 0.00 μB per formula unit

#Q
Here is NaCdAs2Se after structural relaxation from Alexandria via LeMat-Bulk. Energies are from PBE.

```
data_NaCdAs2Se
_chemical_formula_sum 'Na1 Cd1 As2 Se1'
_cell_length_a 5.196
_cell_length_b 5.196
_cell_length_c 5.479
_cell_angle_alpha 90.00
_cell_angle_beta 90.00
_cell_angle_gamma 90.00
_symmetry_space_group_name_H-M 'P 4/m m m'
_symmetry_Int_Tables_number 123
_symmetry_space_group_name_Hall '-P 4 2'
loop_
_atom_site_label
_atom_site_type_symbol
_atom_site_fract_x
_atom_site_fract_y
_atom_site_fract_z
Na1 Na 0.000 0.000 0.000
Cd1 Cd 0.500 0.500 0.500
As1 As 0.000 0.500 0.500
Se1 Se 0.500 0.500 0.000
```

Theoretical density = 4.088 g cm⁻³
Magnetization = 0.99 μB per formula unit

Referenced to the most stable arrangement, the calculated values in meV/atom are #P 397; #Q 0.

#P
Here is NaCdAsSe2 after structural relaxation from Alexandria via LeMat-Bulk. Energies are from PBE.

```
data_NaCdAsSe2
_chemical_formula_sum 'Na1 Cd1 As1 Se2'
_cell_length_a 5.402
_cell_length_b 5.402
_cell_length_c 5.112
_cell_angle_alpha 90.00
_cell_angle_beta 90.00
_cell_angle_gamma 90.00
_symmetry_space_group_name_H-M 'P 4/m m m'
_symmetry_Int_Tables_number 123
_symmetry_space_group_name_Hall '-P 4 2'
loop_
_atom_site_label
_atom_site_type_symbol
_atom_site_fract_x
_atom_site_fract_y
_atom_site_fract_z
Na1 Na 0.000 0.000 0.000
Cd1 Cd 0.500 0.500 0.500
As1 As 0.500 0.500 0.000
Se1 Se 0.000 0.500 0.500
```

Theoretical density = 4.099 g cm⁻³
Magnetization = 0.34 μB per formula unit

#Q
Here is NaCdAsSe2 after structural relaxation from Alexandria via LeMat-Bulk. Energies are from PBE.

```
data_NaCdAsSe2
_chemical_formula_sum 'Na1 Cd1 As1 Se2'
_cell_length_a 5.160
_cell_length_b 5.160
_cell_length_c 5.010
_cell_angle_alpha 90.00
_cell_angle_beta 90.00
_cell_angle_gamma 90.00
_symmetry_space_group_name_H-M 'P 4/m m m'
_symmetry_Int_Tables_number 123
_symmetry_space_group_name_Hall '-P 4 2'
loop_
_atom_site_label
_atom_site_type_symbol
_atom_site_fract_x
_atom_site_fract_y
_atom_site_fract_z
Na1 Na 0.000 0.000 0.000
Cd1 Cd 0.500 0.500 0.500
As1 As 0.000 0.000 0.500
Se1 Se 0.000 0.500 0.000
```

Theoretical density = 4.585 g cm⁻³
Magnetization = 0.00 μB per formula unit

Referenced to the most stable arrangement, the calculated values in meV/atom are #P 0; #Q 439.

#P
Here is Nb2CdAs after structural relaxation from Alexandria via LeMat-Bulk. Energies are from PBE.

```
data_Nb2CdAs
_chemical_formula_sum 'Nb8 Cd4 As4'
_cell_length_a 6.602
_cell_length_b 6.602
_cell_length_c 6.602
_cell_angle_alpha 90.00
_cell_angle_beta 90.00
_cell_angle_gamma 90.00
_symmetry_space_group_name_H-M 'F m -3 m'
_symmetry_Int_Tables_number 225
_symmetry_space_group_name_Hall '-F 4 2 3'
loop_
_atom_site_label
_atom_site_type_symbol
_atom_site_fract_x
_atom_site_fract_y
_atom_site_fract_z
Nb1 Nb 0.250 0.250 0.250
Cd1 Cd 0.000 0.000 0.000
As1 As 0.000 0.000 0.500
```

Theoretical density = 8.611 g cm⁻³
Magnetization = 0.00 μB per formula unit

#Q
Here is Nb2CdAs after structural relaxation from Alexandria via LeMat-Bulk. Energies are from PBE.

```
data_Nb2CdAs
_chemical_formula_sum 'Nb8 Cd4 As4'
_cell_length_a 3.969
_cell_length_b 3.969
_cell_length_c 20.076
_cell_angle_alpha 90.00
_cell_angle_beta 90.00
_cell_angle_gamma 90.00
_symmetry_space_group_name_H-M 'I -4 2 d'
_symmetry_Int_Tables_number 122
_symmetry_space_group_name_Hall 'I -4 2bw'
loop_
_atom_site_label
_atom_site_type_symbol
_atom_site_fract_x
_atom_site_fract_y
_atom_site_fract_z
Nb1 Nb 0.239 0.250 0.125
Cd1 Cd 0.000 0.000 0.500
As1 As 0.000 0.000 0.000
```

Theoretical density = 7.838 g cm⁻³
Magnetization = 0.00 μB per formula unit

Referenced to the most stable arrangement, the calculated values in meV/atom are #P 0; #Q 177.

#P
Here is NbCdAs2Se after structural relaxation from Alexandria via LeMat-Bulk. Energies are from PBE.

```
data_NbCdAs2Se
_chemical_formula_sum 'Nb1 Cd1 As2 Se1'
_cell_length_a 5.085
_cell_length_b 5.085
_cell_length_c 4.984
_cell_angle_alpha 90.00
_cell_angle_beta 90.00
_cell_angle_gamma 90.00
_symmetry_space_group_name_H-M 'P 4/m m m'
_symmetry_Int_Tables_number 123
_symmetry_space_group_name_Hall '-P 4 2'
loop_
_atom_site_label
_atom_site_type_symbol
_atom_site_fract_x
_atom_site_fract_y
_atom_site_fract_z
Nb1 Nb 0.000 0.000 0.000
Cd1 Cd 0.500 0.500 0.500
As1 As 0.000 0.500 0.000
Se1 Se 0.000 0.000 0.500
```

Theoretical density = 5.594 g cm⁻³
Magnetization = 0.00 μB per formula unit

#Q
Here is NbCdAs2Se after structural relaxation from Alexandria via LeMat-Bulk. Energies are from PBE.

```
data_NbCdAs2Se
_chemical_formula_sum 'Nb1 Cd1 As2 Se1'
_cell_length_a 4.988
_cell_length_b 4.988
_cell_length_c 5.069
_cell_angle_alpha 90.00
_cell_angle_beta 90.00
_cell_angle_gamma 90.00
_symmetry_space_group_name_H-M 'P 4/m m m'
_symmetry_Int_Tables_number 123
_symmetry_space_group_name_Hall '-P 4 2'
loop_
_atom_site_label
_atom_site_type_symbol
_atom_site_fract_x
_atom_site_fract_y
_atom_site_fract_z
Nb1 Nb 0.000 0.000 0.000
Cd1 Cd 0.500 0.500 0.500
As1 As 0.000 0.500 0.500
Se1 Se 0.500 0.500 0.000
```

Theoretical density = 5.717 g cm⁻³
Magnetization = 0.00 μB per formula unit

Referenced to the most stable arrangement, the calculated values in meV/atom are #P 0; #Q 1130.